Record 1
{
  "formula": "KTiGe3",
  "functional": "GGA-PBE",
  "state": "optimized geometry",
  "energy_ev_per_atom": -4.625,
  "formation_enthalpy_0k_mev_per_atom": -56,
  "relative_energy_mev_per_atom": 0,
  "space_group": "Pm-3m",
  "lattice": [[5.0010, 0.0000, 0.0000], [0.0000, 5.0010, 0.0000], [0.0000, 0.0000, 5.0010]],
  "species": ["Ge", "Ge", "Ge", "Ti", "K"],
  "frac_coords": [[0.0000, 0.5000, 0.0000], [0.5000, 0.0000, 0.0000], [0.0000, 0.0000, 0.5000], [0.0000, 0.0000, 0.0000], [0.5000, 0.5000, 0.5000]]
}

=====

Record 2
{
  "formula": "BeSiNi6",
  "functional": "GGA-PBE",
  "state": "optimized geometry",
  "energy_ev_per_atom": -5.786,
  "relative_energy_mev_per_atom": 0,
  "space_group": "Cmmm",
  "lattice": [[3.4934, 0.0000, 0.0000], [0.0000, 4.8922, -0.0431], [0.0000, 0.0191, 4.8923]],
  "species": ["Ni", "Ni", "Ni", "Ni", "Ni", "Ni", "Si", "Be"],
  "frac_coords": [[0.0000, 0.7458, 0.2542], [0.5000, 0.0000, 0.5000], [0.5000, 0.5000, 0.0000], [0.0000, 0.2421, 0.2421], [0.0000, 0.7579, 0.7579], [0.0000, 0.2542, 0.7458], [0.5000, 0.5000, 0.5000], [0.5000, 0.0000, 0.0000]]
}

=====

Record 3
{
  "formula": "LiScAgF6",
  "functional": "GGA-PBE",
  "state": "optimized geometry",
  "energy_ev_per_atom": -5.222,
  "space_group": "P-31c",
  "lattice": [[5.3386, 0.0000, 0.0000], [-2.6693, 4.6233, 0.0000], [0.0000, 0.0000, 9.5359]],
  "species": ["F", "F", "F", "F", "F", "F", "F", "F", "F", "F", "F", "F", "Sc", "Sc", "Li", "Li", "Ag", "Ag"],
  "frac_coords": [[0.9973, 0.3489, 0.6362], [0.3517, 0.0027, 0.6362], [0.6483, 0.6511, 0.1362], [0.3489, 0.9973, 0.1362], [0.0027, 0.6511, 0.3638], [0.6511, 0.6483, 0.6362], [0.6511, 0.0027, 0.8638], [0.6483, 0.9973, 0.3638], [0.3517, 0.3489, 0.8638], [0.3489, 0.3517, 0.3638], [0.0027, 0.3517, 0.1362], [0.9973, 0.6483, 0.8638], [0.3333, 0.6667, 0.2500], [0.6667, 0.3333, 0.7500], [0.6667, 0.3333, 0.2500], [0.3333, 0.6667, 0.7500], [0.0000, 0.0000, 0.5000], [0.0000, 0.0000, 0.0000]]
}

=====

Record 4
{
  "formula": "KBaPd3",
  "functional": "GGA-PBE",
  "state": "optimized geometry",
  "energy_ev_per_atom": -3.130,
  "formation_enthalpy_0k_mev_per_atom": 589,
  "relative_energy_mev_per_atom": 35,
  "space_group": "Pm-3m",
  "lattice": [[-4.8192, 0.4711, -2.9095], [2.1785, -3.1868, -4.1244], [-1.9852, -4.6405, 2.5370]],
  "species": ["Pd", "Pd", "Pd", "K", "Ba"],
  "frac_coords": [[0.0000, 0.0000, 0.5000], [0.5000, 0.0000, 0.0000], [0.0000, 0.5000, 0.0000], [0.5000, 0.5000, 0.5000], [0.0000, 0.0000, 0.0000]]
}